Record 1
{
  "formula": "Ga4IrRh",
  "functional": "GGA-PBE",
  "state": "optimized geometry",
  "n_ef_per_ev_atom": 0.439,
  "mass_density_g_cm3": 9.2,
  "e_tot_ev_per_atom": -5.14,
  "lattice": [[-2.585, -5.295, 0.792], [4.492, -1.685, 3.512], [-3.832, 5.608, 2.527]],
  "species": ["Ga", "Ga", "Ga", "Ga", "Ga", "Ga", "Ga", "Ga", "Ir", "Ir", "Rh", "Rh"],
  "fractional_positions": [[0.251, 0.500, 0.499], [0.749, 0.500, 0.501], [0.251, 0.000, 0.500], [0.000, 0.250, 0.000], [0.000, 0.750, 0.000], [0.500, 0.251, 0.999], [0.500, 0.749, 0.001], [0.749, 0.000, 0.500], [0.125, 0.875, 0.750], [0.875, 0.125, 0.250], [0.625, 0.375, 0.751], [0.375, 0.625, 0.249]]
}

=====

Record 2
{
  "formula": "Ga3IrRh2",
  "functional": "GGA-PBE",
  "state": "optimized geometry",
  "n_ef_per_ev_atom": 0.312,
  "mass_density_g_cm3": 11.9,
  "e_tot_ev_per_atom": -6.03,
  "lattice": [[-2.486, -1.571, -0.774], [1.080, -2.434, 1.469], [-4.146, 2.786, 7.667]],
  "species": ["Ga", "Ga", "Ga", "Rh", "Rh", "Ir"],
  "fractional_positions": [[0.000, 0.000, 0.331], [0.000, 0.000, 0.000], [0.000, 0.000, 0.669], [0.500, 0.500, 0.834], [0.500, 0.500, 0.166], [0.500, 0.500, 0.500]]
}

=====

Record 3
{
  "formula": "Ga4Ir2Rh",
  "functional": "GGA-PBE",
  "state": "optimized geometry",
  "n_ef_per_ev_atom": 0.321,
  "mass_density_g_cm3": 11.6,
  "e_tot_ev_per_atom": -5.74,
  "lattice": [[-1.895, -4.615, -1.564], [4.489, -0.824, 2.550], [-3.546, 2.295, 3.081]],
  "species": ["Ga", "Ga", "Ga", "Ga", "Rh", "Ir", "Ir"],
  "fractional_positions": [[0.500, 0.000, 0.000], [0.000, 0.500, 0.000], [0.000, 0.000, 0.500], [0.500, 0.500, 0.500], [0.000, 0.000, 0.000], [0.500, 0.500, 0.000], [0.500, 0.000, 0.500]]
}

=====

Record 4
{
  "formula": "GaIrRh6",
  "functional": "GGA-PBE",
  "state": "optimized geometry",
  "n_ef_per_ev_atom": 0.775,
  "mass_density_g_cm3": 12.8,
  "e_tot_ev_per_atom": -7.17,
  "lattice": [[3.848, 0.000, 0.000], [0.000, 3.848, 0.000], [0.000, 0.000, 7.692]],
  "species": ["Rh", "Rh", "Rh", "Rh", "Rh", "Rh", "Ga", "Ir"],
  "fractional_positions": [[0.000, 0.500, 0.746], [0.500, 0.000, 0.254], [0.500, 0.000, 0.746], [0.000, 0.500, 0.254], [0.500, 0.500, 0.000], [0.500, 0.500, 0.500], [0.000, 0.000, 0.000], [0.000, 0.000, 0.500]]
}

=====

Record 5
{
  "formula": "GaIrRh2",
  "functional": "GGA-PBE",
  "state": "optimized geometry",
  "n_ef_per_ev_atom": 1.349,
  "mass_density_g_cm3": 12.4,
  "e_tot_ev_per_atom": -6.46,
  "lattice": [[3.748, 0.000, 0.000], [0.000, 3.748, 0.000], [1.874, 1.874, 8.946]],
  "species": ["Rh", "Rh", "Rh", "Rh", "Ga", "Ga", "Ir", "Ir"],
  "fractional_positions": [[0.122, 0.625, 0.250], [0.875, 0.878, 0.750], [0.375, 0.372, 0.750], [0.628, 0.125, 0.250], [0.250, 0.750, 0.500], [0.500, 0.500, 0.000], [0.750, 0.250, 0.500], [0.000, 0.000, 0.000]]
}

=====

Record 6
{
  "formula": "GaIr2Rh6",
  "functional": "GGA-PBE",
  "state": "optimized geometry",
  "n_ef_per_ev_atom": 1.370,
  "mass_density_g_cm3": 12.7,
  "e_tot_ev_per_atom": -7.02,
  "lattice": [[3.635, 0.001, 0.953], [0.838, 6.389, 4.207], [0.006, 2.154, 7.388]],
  "species": ["Rh", "Rh", "Rh", "Rh", "Rh", "Rh", "Ir", "Ir", "Ga"],
  "fractional_positions": [[0.302, 0.424, 0.971], [0.683, 0.059, 0.576], [0.683, 0.576, 0.059], [0.487, 0.767, 0.259], [0.302, 0.971, 0.424], [0.487, 0.259, 0.767], [0.888, 0.612, 0.612], [0.085, 0.416, 0.416], [0.083, 0.917, 0.917]]
}